i.
Crystalline BaSrIr2 at its relaxed geometry, computed with PBEsol.

a b c (Å): 3.2983 3.2983 8.4653
angles (deg): 90.00 90.00 90.00
Sites, in units of the cell vectors:
Ba: 0.5000 0.5000 0.5000
Ir: 0.0000 0.0000 0.7594
Ir: 0.0000 0.0000 0.2406
Sr: 0.5000 0.5000 0.0000

Properties
ρ   10.99 Mg/m³
Total magnetic moment   0.00 Bohr magnetons per cell
Crystal system   tetragonal



ii.
Crystalline BaSrIr2 at its relaxed geometry, computed with PBEsol.

a b c (Å): 3.3985 3.3985 9.5149
angles (deg): 79.71 79.71 60.00
Sites, in units of the cell vectors:
Ba: 0.0000 0.0000 0.0000
Ir: 0.2480 0.2480 0.2559
Ir: 0.7520 0.7520 0.7441
Sr: 0.5000 0.5000 0.5000

Properties
ρ   10.87 Mg/m³
Total magnetic moment   0.00 Bohr magnetons per cell
Crystal system   trigonal



If we sort the structures by their calculated energies, the order from most to least stable is i, ii.



i.
Crystalline Ba2TaIr at its relaxed geometry, computed with PBEsol.

a b c (Å): 3.3068 3.3068 10.9227
angles (deg): 81.29 81.29 60.00
Sites, in units of the cell vectors:
Ir: 0.5000 0.5000 0.5000
Ba: 0.2425 0.2425 0.2726
Ba: 0.7575 0.7575 0.7274
Ta: 0.0000 0.0000 0.0000

Properties
ρ   10.56 Mg/m³
Total magnetic moment   0.00 Bohr magnetons per cell
Crystal system   trigonal



ii.
Crystalline Ba2TaIr at its relaxed geometry, computed with PBEsol.

a b c (Å): 4.2198 4.2198 6.2655
angles (deg): 109.68 109.68 90.00
Sites, in units of the cell vectors:
Ir: 0.0000 0.0000 0.0000
Ba: 0.7500 0.2500 0.5000
Ba: 0.2500 0.7500 0.5000
Ta: 0.5000 0.5000 0.0000

Properties
ρ   10.97 Mg/m³
Total magnetic moment   0.00 Bohr magnetons per cell
Crystal system   tetragonal



If we sort the structures by their calculated energies, the order from most to least stable is ii, i.



i.
Crystalline BaIrW2 at its relaxed geometry, computed with PBEsol.

a b c (Å): 2.9079 2.9079 9.2237
angles (deg): 90.00 90.00 90.00
Sites, in units of the cell vectors:
Ir: 0.5000 0.5000 0.8033
Ba: 0.0000 0.0000 0.5187
W: 0.0000 0.0000 0.9787
W: 0.5000 0.5000 0.1993

Properties
ρ   14.84 Mg/m³
Total magnetic moment   0.00 Bohr magnetons per cell
Crystal system   tetragonal



ii.
Crystalline BaIrW2 at its relaxed geometry, computed with PBEsol.

a b c (Å): 2.9489 5.0850 5.0352
angles (deg): 90.00 90.00 90.00
Sites, in units of the cell vectors:
Ir: 0.0000 0.5000 0.5000
Ba: 0.5000 0.0000 0.5000
W: 0.0000 0.0000 0.0000
W: 0.5000 0.5000 0.0000

Properties
ρ   15.33 Mg/m³
Total magnetic moment   0.00 Bohr magnetons per cell
Crystal system   orthorhombic



If we sort the structures by their calculated energies, the order from most to least stable is i, ii.